1.
Material: MgTi2Pt
Method: DFT, PBE
State: optimized geometry

Values from the calculation:
- energy of formation from the pure elements (kcal/mol of atoms) = -9.840

Lattice parameters (Å, degrees): 3.914 3.914 4.293 90.00 90.00 90.00
Positions (direct):
Mg: 0.000 0.000 0.000
Ti: 0.000 0.500 0.500
Ti: 0.500 0.000 0.500
Pt: 0.500 0.500 0.000

***

2.
Material: KSr2Mn
Method: DFT, PBE
State: optimized geometry

Values from the calculation:
- polymorph energy (0 for the lowest one) (eV per atom) = 0.2743
- energy of formation from the pure elements (kcal/mol of atoms) = 14.550

Lattice parameters (Å, degrees): 6.260 6.260 6.260 60.00 60.00 60.00
Positions (direct):
K: 0.000 0.000 0.000
Sr: 0.500 0.500 0.500
Sr: 0.750 0.750 0.750
Mn: 0.250 0.250 0.250

***

3.
Material: HfAgTe2O8
Method: DFT, PBE
State: optimized geometry

Values from the calculation:
- E_form (uncorrected) (eV per atom) = -1.25

Lattice parameters (Å, degrees): 5.985 5.985 6.615 90.00 90.00 120.00
Positions (direct):
Hf: 0.000 0.000 0.000
Ag: 0.000 0.000 0.500
Te: 0.333 0.667 0.280
Te: 0.667 0.333 0.720
O: 0.156 0.314 0.194
O: 0.159 0.844 0.194
O: 0.314 0.159 0.806
O: 0.333 0.667 0.554
O: 0.667 0.333 0.446
O: 0.686 0.841 0.194
O: 0.841 0.156 0.806
O: 0.844 0.686 0.806